(1)
Material: SrSiRh4
Method: DFT, PBE
State: relaxed

It has space group F-43m (No. 216), with a = 7.480 Å, b = 7.480 Å, c = 7.480 Å, α = 90.00°, β = 90.00° and γ = 90.00°. Symmetry generates all atoms from Sr at (0.000, 0.000, 0.000), Si at (0.250, 0.250, 0.250) and Rh at (0.124, 0.124, 0.624).

Its crystal system is cubic. The calculation puts the spin magnetization at 0.0008 μB per atom. The uncorrected formation energy comes out at 0.047 eV/atom.

---

(2)
Material: Sr3SiRh
Method: DFT, PBE
State: relaxed

It has space group Pm-3m (No. 221), with a = 5.648 Å, b = 5.648 Å, c = 5.648 Å, α = 90.00°, β = 90.00° and γ = 90.00°. Symmetry generates all atoms from Sr at (0.000, 0.000, 0.500), Si at (0.500, 0.500, 0.500) and Rh at (0.000, 0.000, 0.000).

Its crystal system is cubic. The calculation puts the spin magnetization at 0.2003 μB per atom. The uncorrected formation energy comes out at 0.071 eV/atom. The polymorph energy (0 for the lowest one) is 0.0000 eV per atom.

---

(3)
Material: Sr2SiRh
Method: DFT, PBE
State: relaxed

It has space group F-43m (No. 216), with a = 7.126 Å, b = 7.126 Å, c = 7.126 Å, α = 90.00°, β = 90.00° and γ = 90.00°. Symmetry generates all atoms from Sr at (0.000, 0.000, 0.000), Sr at (0.250, 0.250, 0.250), Si at (0.000, 0.000, 0.500) and Rh at (0.250, 0.250, 0.750).

Its crystal system is cubic. The calculation puts the spin magnetization at 0.0000 μB per atom. The uncorrected formation energy comes out at -0.021 eV/atom.

---

(4)
Material: SrSiRh2
Method: DFT, PBE
State: relaxed

It has space group Imm2 (No. 44), with a = 3.135 Å, b = 3.360 Å, c = 14.623 Å, α = 90.00°, β = 90.00° and γ = 90.00°. Symmetry generates all atoms from Sr at (0.000, 0.000, 0.000), Si at (0.000, 0.500, 0.247), Rh at (0.000, 0.000, 0.358) and Rh at (0.000, 0.500, 0.685).

Its crystal system is orthorhombic. The calculation puts the spin magnetization at 0.0000 μB per atom. The uncorrected formation energy comes out at -0.351 eV/atom.

---

(5)
Material: Sr2SiRh
Method: DFT, PBE
State: relaxed

It has space group R-3m (No. 166, hexagonal axes), with a = 3.7828 Å, b = 3.7828 Å, c = 26.8504 Å, α = 90.00°, β = 90.00° and γ = 120.00°. Symmetry generates all atoms from Sr at (0.0000, 0.0000, 0.2441), Si at (0.0000, 0.0000, 0.0000) and Rh at (0.0000, 0.0000, 0.5000).

Its crystal system is trigonal. The calculation puts the spin magnetization at 0.0000 μB per atom. The uncorrected formation energy comes out at 0.144 eV/atom.

---

(6)
Material: SrSiRh2
Method: DFT, PBE
State: relaxed

It has space group P4mm (No. 99), with a = 4.092 Å, b = 4.092 Å, c = 5.083 Å, α = 90.00°, β = 90.00° and γ = 90.00°. Symmetry generates all atoms from Sr at (0.000, 0.000, 0.000), Si at (0.500, 0.500, 0.704) and Rh at (0.000, 0.500, 0.490).

Its crystal system is tetragonal. The calculation puts the spin magnetization at 0.0000 μB per atom. The uncorrected formation energy comes out at -0.422 eV/atom.

---

(7)
Material: SrSiRh2
Method: DFT, PBE
State: relaxed

It has space group Immm (No. 71), with a = 3.583 Å, b = 5.476 Å, c = 8.065 Å, α = 90.00°, β = 90.00° and γ = 90.00°. Symmetry generates all atoms from Sr at (0.000, 0.000, 0.000), Si at (0.000, 0.000, 0.500) and Rh at (0.000, 0.500, 0.184).

Its crystal system is orthorhombic. The calculation puts the spin magnetization at 0.0000 μB per atom. The uncorrected formation energy comes out at -0.312 eV/atom.

---

(8)
Material: SrSi3Rh
Method: DFT, PBE
State: relaxed

It has space group Pm-3m (No. 221), with a = 4.763 Å, b = 4.763 Å, c = 4.763 Å, α = 90.00°, β = 90.00° and γ = 90.00°. Symmetry generates all atoms from Sr at (0.000, 0.000, 0.000), Si at (0.000, 0.500, 0.500) and Rh at (0.500, 0.500, 0.500).

Its crystal system is cubic. The calculation puts the spin magnetization at 0.0000 μB per atom. The uncorrected formation energy comes out at 0.048 eV/atom.